Here is crystalline Ho2GaBPt6 at its relaxed geometry from the Alexandria database. Energies are from PBE-GGA.

Cell lengths 5.660, 8.620, 7.332 Å; angles 90.00, 90.00, 90.00 degrees
Positions (direct):
Ho 0.250 0.035 0.215
Ho 0.250 0.465 0.215
Ho 0.750 0.535 0.785
Ho 0.750 0.965 0.785
Ga 0.250 0.750 0.821
Ga 0.750 0.250 0.179
B 0.250 0.250 0.691
B 0.750 0.750 0.309
Pt 0.001 0.250 0.904
Pt 0.008 0.750 0.517
Pt 0.250 0.006 0.645
Pt 0.250 0.494 0.645
Pt 0.492 0.750 0.517
Pt 0.499 0.250 0.904
Pt 0.501 0.750 0.096
Pt 0.508 0.250 0.483
Pt 0.750 0.506 0.355
Pt 0.750 0.994 0.355
Pt 0.992 0.250 0.483
Pt 0.999 0.750 0.096

Output
**Fermi-level density of states**: 6.00 states/eV per cell
**Energy relative to the elements**: -0.907 eV/atom
**Space-group type**: Pmmn, No. 59
**Raw total energy**: -128.353 eV per cell
**Total magnetic moment**: 0.000 μB/atom

Here is crystalline Pm2Sm2DyTm4 at its relaxed geometry from the Alexandria database. Energies are from PBE-GGA.

Cell lengths 9.490, 9.490, 9.552 Å; angles 115.30, 115.30, 21.82 degrees
Positions (direct):
Pm 0.165 0.165 0.002
Pm 0.835 0.835 0.998
Sm 0.353 0.353 0.338
Sm 0.647 0.647 0.662
Dy 0.500 0.500 0.000
Tm 0.020 0.020 0.333
Tm 0.315 0.315 0.664
Tm 0.685 0.685 0.336
Tm 0.980 0.980 0.667

Output
**Fermi-level density of states**: 12.25 states/eV per cell
**Energy relative to the elements**: 0.002 eV/atom
**Space-group type**: C2/m, No. 12
**Raw total energy**: -41.414 eV per cell
**Total magnetic moment**: 0.000 μB/atom